No. 1
This record from Alexandria describes a relaxed VZn3Mo crystal. The functional is GGA-PBE.

Results
ΔH_f (0 K): 1.256 eV per atom
Polymorph energy (0 for the lowest one): 0.0 meV/atom
Symmetry: No. 221

Geometry as POSCAR:
```
VZn3Mo
1.0
4.806 0.000 0.000
0.000 4.806 0.000
0.000 0.000 4.806
V Zn Mo
1 3 1
direct
0.000 0.000 0.000 V
0.000 0.500 0.500 Zn
0.500 0.000 0.500 Zn
0.500 0.500 0.000 Zn
0.500 0.500 0.500 Mo
```

No. 2
This record from Alexandria describes a relaxed V2ZnMo crystal. The functional is GGA-PBE.

Results
ΔH_f (0 K): -0.011 eV per atom
Symmetry: No. 65

Geometry as POSCAR:
```
V2ZnMo
1.0
1.556 -2.097 0.000
1.556 2.097 0.000
0.000 0.000 8.785
V Zn Mo
2 1 1
direct
0.000 0.000 0.249 V
0.000 0.000 0.751 V
0.500 0.500 0.000 Zn
0.500 0.500 0.500 Mo
```

No. 3
This record from Alexandria describes a relaxed VZnMo crystal. The functional is GGA-PBE.

Results
ΔH_f (0 K): 0.330 eV per atom
Polymorph energy (0 for the lowest one): 271.0 meV/atom
Symmetry: No. 160

Geometry as POSCAR:
```
VZnMo
1.0
2.102 1.213 6.357
-2.102 1.213 6.357
0.000 -2.427 6.357
V Zn Mo
2 2 2
direct
0.000 0.000 0.000 V
0.147 0.147 0.147 V
0.580 0.580 0.580 Zn
0.862 0.862 0.862 Zn
0.433 0.433 0.433 Mo
0.719 0.719 0.719 Mo
```

No. 4
This record from Alexandria describes a relaxed VZnMo crystal. The functional is GGA-PBE.

Results
ΔH_f (0 K): 0.084 eV per atom
Polymorph energy (0 for the lowest one): 24.8 meV/atom
Symmetry: No. 107

Geometry as POSCAR:
```
VZnMo
1.0
-1.603 1.603 4.294
1.603 -1.603 4.294
1.603 1.603 -4.294
V Zn Mo
1 1 1
direct
0.000 0.000 0.000 V
0.676 0.676 0.000 Zn
0.356 0.356 0.000 Mo
```

No. 5
This record from Alexandria describes a relaxed V4ZnMo crystal. The functional is GGA-PBE.

Results
ΔH_f (0 K): 0.154 eV per atom
Symmetry: No. 216

Geometry as POSCAR:
```
V4ZnMo
1.0
0.000 3.491 3.491
3.491 0.000 3.491
3.491 3.491 0.000
V Zn Mo
4 1 1
direct
0.377 0.377 0.377 V
0.377 0.377 0.869 V
0.377 0.869 0.377 V
0.869 0.377 0.377 V
0.000 0.000 0.000 Zn
0.750 0.750 0.750 Mo
```

No. 6
This record from Alexandria describes a relaxed VZn4Mo crystal. The functional is GGA-PBE.

Results
ΔH_f (0 K): 0.039 eV per atom
Symmetry: No. 216

Geometry as POSCAR:
```
VZn4Mo
1.0
0.000 3.477 3.477
3.477 0.000 3.477
3.477 3.477 0.000
V Zn Mo
1 4 1
direct
0.000 0.000 0.000 V
0.125 0.625 0.625 Zn
0.625 0.125 0.625 Zn
0.625 0.625 0.125 Zn
0.625 0.625 0.625 Zn
0.250 0.250 0.250 Mo
```

No. 7
This record from Alexandria describes a relaxed V2ZnMo crystal. The functional is GGA-PBE.

Results
ΔH_f (0 K): 0.584 eV per atom
Symmetry: No. 122

Geometry as POSCAR:
```
V2ZnMo
1.0
-3.426 3.426 2.614
3.426 -3.426 2.614
3.426 3.426 -2.614
V Zn Mo
4 2 2
direct
0.114 0.625 0.989 V
0.375 0.364 0.489 V
0.636 0.125 0.011 V
0.875 0.886 0.511 V
0.250 0.750 0.500 Zn
0.500 0.500 0.000 Zn
0.000 0.000 0.000 Mo
0.750 0.250 0.500 Mo
```

No. 8
This record from Alexandria describes a relaxed VZnMo crystal. The functional is GGA-PBE.

Results
ΔH_f (0 K): 0.497 eV per atom
Polymorph energy (0 for the lowest one): 438.2 meV/atom
Symmetry: No. 69

Geometry as POSCAR:
```
VZnMo
1.0
0.000 3.951 4.522
2.747 0.000 4.522
2.747 3.951 0.000
V Zn Mo
2 2 2
direct
0.167 0.167 0.833 V
0.833 0.833 0.167 V
0.324 0.676 0.324 Zn
0.676 0.324 0.676 Zn
0.250 0.250 0.250 Mo
0.750 0.750 0.750 Mo
```

No. 9
This record from Alexandria describes a relaxed V2ZnMo crystal. The functional is GGA-PBE.

Results
ΔH_f (0 K): -0.006 eV per atom
Symmetry: No. 123

Geometry as POSCAR:
```
V2ZnMo
1.0
4.162 0.000 0.000
0.000 4.162 0.000
0.000 0.000 3.261
V Zn Mo
2 1 1
direct
0.000 0.500 0.000 V
0.500 0.000 0.000 V
0.000 0.000 0.500 Zn
0.500 0.500 0.500 Mo
```

No. 10
This record from Alexandria describes a relaxed VZn2Mo2 crystal. The functional is GGA-PBE.

Results
ΔH_f (0 K): 0.261 eV per atom
Symmetry: No. 127

Geometry as POSCAR:
```
VZn2Mo2
1.0
6.556 0.000 0.000
0.000 6.556 0.000
0.000 0.000 3.441
V Zn Mo
2 4 4
direct
0.000 0.000 0.000 V
0.500 0.500 0.000 V
0.127 0.373 0.000 Zn
0.373 0.873 0.000 Zn
0.627 0.127 0.000 Zn
0.873 0.627 0.000 Zn
0.175 0.675 0.500 Mo
0.325 0.175 0.500 Mo
0.675 0.825 0.500 Mo
0.825 0.325 0.500 Mo
```

No. 11
This record from Alexandria describes a relaxed VZnMo crystal. The functional is GGA-PBE.

Results
ΔH_f (0 K): 0.059 eV per atom
Polymorph energy (0 for the lowest one): 0.0 meV/atom
Symmetry: No. 156

Geometry as POSCAR:
```
VZnMo
1.0
4.423 0.000 0.000
-2.211 3.830 0.000
0.000 0.000 2.568
V Zn Mo
1 1 1
direct
0.000 0.000 0.000 V
0.667 0.333 0.336 Zn
0.333 0.667 0.704 Mo
```

No. 12
This record from Alexandria describes a relaxed ZrV2Mo2 crystal. The functional is GGA-PBE.

Results
ΔH_f (0 K): 0.377 eV per atom
Polymorph energy (0 for the lowest one): 93.1 meV/atom
Symmetry: No. 139

Geometry as POSCAR:
```
ZrV2Mo2
1.0
-1.985 1.985 5.599
1.985 -1.985 5.599
1.985 1.985 -5.599
Zr V Mo
1 2 2
direct
0.000 0.000 0.000 Zr
0.250 0.750 0.500 V
0.750 0.250 0.500 V
0.385 0.385 0.000 Mo
0.615 0.615 0.000 Mo
```

No. 13
This record from Alexandria describes a relaxed ZrV3Mo crystal. The functional is GGA-PBE.

Results
ΔH_f (0 K): 1.838 eV per atom
Polymorph energy (0 for the lowest one): 908.0 meV/atom
Symmetry: No. 221

Geometry as POSCAR:
```
ZrV3Mo
1.0
4.517 0.000 0.000
0.000 4.517 0.000
0.000 0.000 4.517
Zr V Mo
1 3 1
direct
0.000 0.000 0.000 Zr
0.000 0.000 0.500 V
0.000 0.500 0.000 V
0.500 0.000 0.000 V
0.500 0.500 0.500 Mo
```

No. 14
This record from Alexandria describes a relaxed ZrVMo crystal. The functional is GGA-PBE.

Results
ΔH_f (0 K): 0.332 eV per atom
Polymorph energy (0 for the lowest one): 452.7 meV/atom
Symmetry: No. 107

Geometry as POSCAR:
```
ZrVMo
1.0
-1.355 1.355 7.071
1.355 -1.355 7.071
1.355 1.355 -7.071
Zr V Mo
1 1 1
direct
0.000 0.000 0.000 Zr
0.667 0.667 0.000 V
0.321 0.321 0.000 Mo
```

Across the entries above, spin magnetization takes the values 0.5057; 0.0000; 0.3067; 0.0001; 0.0000; 0.0062; 0.0001; 0.0175; 0.0000; 0.0000; 0.0000; 0.0000; 0.0033; 0.0000 μB per atom, respectively.
Across the entries above, raw total energy takes the values -3.499; -7.596; -6.745; -6.991; -7.942; -4.135; -7.001; -6.577; -7.591; -6.405; -7.016; -9.313; -7.509; -9.167 eV per atom, respectively.